Compound: PmPdC2O8
Source: Alexandria
Functional: PBE
Structure: relaxed

POSCAR file:
```
PmPdC2O8
1.0
3.757 -2.444 0.000
3.757 2.444 0.000
-0.576 0.000 7.155
Pm Pd C O
1 1 2 8
Direct
0.000 0.000 0.000
0.000 0.000 0.500
0.369 0.369 0.717
0.631 0.631 0.283
0.241 0.715 0.716
0.263 0.263 0.550
0.285 0.759 0.284
0.299 0.299 0.887
0.701 0.701 0.113
0.715 0.241 0.716
0.737 0.737 0.450
0.759 0.285 0.284
```

Raw formation energy ... -1275 meV per atom
Crystal system ... monoclinic
SG ... C2/m, No. 12
Uncorrected energy ... -6.946 eV/atom
Spin magnetization ... 0.9 μB per cell